A relaxed structure of Rb2Dy2NpTe6. Source: the Alexandria database, functional PBE-GGA.

abc: 7.694 7.694 9.168
angles: 98.16 98.16 119.99
Each line ends with the local moment (μB).
Fractional positions:
Rb: 0.832 0.168 0.000  0.00
Rb: 0.168 0.832 0.000  0.00
Dy: 0.333 0.667 0.500  0.00
Dy: 0.667 0.333 0.500  0.00
Np: 0.000 0.000 0.500  3.50
Te: 0.735 0.735 0.696  -0.06
Te: 0.068 0.397 0.697  -0.05
Te: 0.265 0.265 0.304  -0.06
Te: 0.397 0.068 0.697  -0.05
Te: 0.932 0.603 0.303  -0.05
Te: 0.603 0.932 0.303  -0.05

## Properties
calculated total energy = -5.072 eV/atom
calculated volume = 40.97 Å³ per atom
raw formation energy = -12.87 eV/f.u.
DOS at the Fermi energy = 3.520 states/eV/f.u.